# SrTiV2O8 (PBE+U, relaxed)
data_SrTiV2O8
_chemical_formula_sum 'Sr1 Ti1 V2 O8'
_symmetry_space_group_name_H-M 'P 1'
_symmetry_Int_Tables_number 1
_cell_length_a 5.585
_cell_length_b 5.585
_cell_length_c 6.766
_cell_angle_alpha 90.00
_cell_angle_beta 90.00
_cell_angle_gamma 120.00
loop_
_symmetry_equiv_pos_as_xyz
'x,y,z'
loop_
_atom_site_label
_atom_site_fract_x
_atom_site_fract_y
_atom_site_fract_z
_atom_site_occupancy
Sr1 0.000 0.000 0.000 1
Ti1 0.000 0.000 0.500 1
V1 0.667 0.333 0.245 1
V2 0.333 0.667 0.755 1
O1 0.333 0.667 0.002 1
O2 0.318 0.159 0.321 1
O3 0.841 0.159 0.321 1
O4 0.667 0.333 0.998 1
O5 0.159 0.841 0.679 1
O6 0.682 0.841 0.679 1
O7 0.159 0.318 0.679 1
O8 0.841 0.682 0.321 1
# * size of the total moment: 0.000 μB per cell
# * electronic total energy: -7.7655 eV/atom